[1]
Li2AlCu3 after structural relaxation, computed with PBE.

## Properties
- D(E_F) (states/eV/f.u.) = 1.30
- space-group type = Cmmm, No. 65
- energy relative to the lowest polymorph listed for this composition (meV/atom) = 18.7
- formation energy from the elements (eV/atom) = -0.129

Lattice parameters (Å, degrees): 3.9308 11.2141 3.4909 90.00 90.00 90.00
Fractional positions:
Li: 0.0000 0.1691 0.0000
Li: 0.0000 0.8309 0.0000
Li: 0.5000 0.3309 0.0000
Li: 0.5000 0.6691 0.0000
Al: 0.0000 0.5000 0.0000
Al: 0.5000 0.0000 0.0000
Cu: 0.0000 0.0000 0.5000
Cu: 0.0000 0.3346 0.5000
Cu: 0.0000 0.6654 0.5000
Cu: 0.5000 0.1654 0.5000
Cu: 0.5000 0.5000 0.5000
Cu: 0.5000 0.8346 0.5000

=====

[2]
Rb3Tb3US8 after structural relaxation, computed with PBE.

## Properties
- raw formation energy (eV/atom) = -1.769
- D(E_F) (states/eV/f.u.) = 6.37
- space-group type = R-3m, No. 166

Lattice parameters (Å, degrees): 9.1169 9.1169 9.1169 52.90 52.90 52.90
Fractional positions:
Rb: 0.0000 0.5000 0.5000
Rb: 0.5000 0.0000 0.5000
Rb: 0.5000 0.5000 0.0000
Tb: 0.0000 0.0000 0.5000
Tb: 0.0000 0.5000 0.0000
Tb: 0.5000 0.0000 0.0000
U: 0.5000 0.5000 0.5000
S: 0.2303 0.2303 0.2303
S: 0.2354 0.7253 0.7253
S: 0.2747 0.2747 0.7646
S: 0.2747 0.7646 0.2747
S: 0.7253 0.2354 0.7253
S: 0.7253 0.7253 0.2354
S: 0.7646 0.2747 0.2747
S: 0.7697 0.7697 0.7697